Computed, not measured: crystalline MoNO2 at its relaxed geometry at the PBE+U level of DFT.

Results
spin magnetization	5.0	μB per formula unit
space-group type	P-1 (2)
E	-6.17	eV per atom

a = 3.130 Å, b = 3.284 Å, c = 7.639 Å
α = 102.05°, β = 90.14°, γ = 118.47°
Positions (direct):
Mo 0.000 0.000 0.000
N 0.500 0.000 0.500
O 0.293 0.589 0.872
O 0.707 0.411 0.128